1.
Pm12Ge7Pb (GGA-PBE, optimized geometry); calculated volume = 32.7 Å³/atom; ΔE_f = -0.4665 eV/atom; crystal system = cubic; calculated total energy = -5.12 eV per atom
1.0
-5.467 5.467 5.467
5.467 -5.467 5.467
5.467 5.467 -5.467
Pm Ge Pb
12 7 1
Direct
0.120 0.304 0.816
0.184 0.488 0.304
0.184 0.880 0.696
0.304 0.184 0.488
0.304 0.816 0.120
0.488 0.304 0.184
0.512 0.696 0.816
0.696 0.184 0.880
0.696 0.816 0.512
0.816 0.120 0.304
0.816 0.512 0.696
0.880 0.696 0.184
0.000 0.000 0.500
0.000 0.500 0.000
0.000 0.500 0.500
0.500 0.000 0.000
0.500 0.000 0.500
0.500 0.500 0.000
0.500 0.500 0.500
0.000 0.000 0.000


2.
BaLaAl2 (GGA-PBE, optimized geometry); calculated volume = 33.5 Å³/atom; relative energy among the computed polymorphs = 1.250 eV/f.u.; ΔE_f = 0.1260 eV/atom; crystal system = trigonal; calculated total energy = -3.46 eV per atom
1.0
1.954 1.128 10.133
-1.954 1.128 10.133
0.000 -2.257 10.133
Ba La Al
1 1 2
Direct
0.000 0.000 0.000
0.500 0.500 0.500
0.245 0.245 0.245
0.755 0.755 0.755


3.
ZrPd2Br (GGA-PBE, optimized geometry); calculated volume = 19.0 Å³/atom; ΔE_f (raw) = -0.06 eV per atom; relative energy among the computed polymorphs = 0.668 eV/f.u.; crystal system = cubic; calculated total energy = -5.21 eV per atom
1.0
0.000 3.363 3.363
3.363 0.000 3.363
3.363 3.363 0.000
Zr Pd Br
1 2 1
Direct
0.000 0.000 0.000
0.250 0.250 0.250
0.750 0.750 0.750
0.500 0.500 0.500


4.
CaEuNiTe (GGA-PBE, optimized geometry); calculated volume = 25.8 Å³/atom; ΔE_f (raw) = -0.56 eV per atom; crystal system = cubic; calculated total energy = -5.86 eV per atom
1.0
0.000 3.721 3.721
3.721 0.000 3.721
3.721 3.721 0.000
Ca Eu Ni Te
1 1 1 1
Direct
0.000 0.000 0.000
0.500 0.500 0.500
0.250 0.250 0.250
0.750 0.750 0.750


5.
Y4N (GGA-PBE, optimized geometry); calculated volume = 24.8 Å³/atom; ΔE_f (raw) = -0.51 eV per atom; crystal system = cubic; calculated total energy = -7.35 eV per atom
1.0
4.988 0.000 0.000
0.000 4.988 0.000
0.000 0.000 4.988
Y N
4 1
Direct
0.000 0.000 0.000
0.000 0.500 0.500
0.500 0.000 0.500
0.500 0.500 0.000
0.500 0.500 0.500


6.
Na2HfMn (GGA-PBE, optimized geometry); calculated volume = 23.9 Å³/atom; relative energy among the computed polymorphs = 0.000 eV/f.u.; ΔE_f = 1.0511 eV/atom; crystal system = tetragonal; calculated total energy = -4.39 eV per atom
1.0
-4.270 4.270 2.625
4.270 -4.270 2.625
4.270 4.270 -2.625
Na Hf Mn
4 2 2
Direct
0.086 0.625 0.961
0.375 0.336 0.461
0.664 0.125 0.039
0.875 0.914 0.539
0.250 0.750 0.500
0.500 0.500 0.000
0.000 0.000 0.000
0.750 0.250 0.500


Q: Look up the calculated total energy of the third one.
A: -5.21 eV per atom


Q: Which formula does entry 4 have?
A: CaEuNiTe


Q: Among the records above, which one has the highest calculated total energy?
A: BaLaAl2